{"formula": "NpMnCuO6", "functional": "PBE+U", "state": "relaxed", "total_magnetization_mub_per_cell": 6.068, "dft_energy_ev_per_atom": -7.734, "lattice": [[5.191, 0.000, 0.000], [-2.595, 4.495, 0.000], [0.000, 0.000, 9.258]], "species": ["Np", "Np", "Mn", "Mn", "Cu", "Cu", "O", "O", "O", "O", "O", "O", "O", "O", "O", "O", "O", "O"], "fractional_positions": [[0.333, 0.667, 0.250], [0.667, 0.333, 0.750], [0.000, 0.000, 0.000], [0.000, 0.000, 0.500], [0.333, 0.667, 0.750], [0.667, 0.333, 0.250], [0.002, 0.339, 0.131], [0.002, 0.663, 0.369], [0.337, 0.339, 0.369], [0.337, 0.998, 0.131], [0.339, 0.002, 0.631], [0.339, 0.337, 0.869], [0.661, 0.663, 0.131], [0.661, 0.998, 0.369], [0.663, 0.002, 0.869], [0.663, 0.661, 0.631], [0.998, 0.337, 0.631], [0.998, 0.661, 0.869]]}